LaIn2WO | PBE with a Hubbard U | relaxed

Raw total energy ... -13.5 eV/f.u.
Symmetry ... P4/mmm (123)
Magnetic moment ... 2.5 μB per formula unit

a = 6.1675 Å, b = 5.8103 Å, c = 6.1675 Å
α = 90.00°, β = 90.00°, γ = 90.00°
Site moments in Bohr magnetons follow the coordinates.
Sites, in units of the cell vectors:
In (0.0000, 0.0000, 0.5000)  -0.05
In (0.5000, 0.0000, 0.0000)  -0.09
O (0.5000, 0.5000, 0.5000)  -0.07
W (0.0000, 0.5000, 0.0000)  3.02
La (0.0000, 0.0000, 0.0000)  -0.25